MnPRu2: optimized geometry, GGA-PBEsol.

a = 2.941 Å, b = 4.718 Å, c = 7.736 Å
α = 90.00°, β = 90.00°, γ = 90.00°
Space group Cmmm (No. 65)
Unique sites:
Mn 0.000 0.000 0.000 [2 per cell]
P 0.000 0.000 0.500 [2 per cell]
Ru 0.000 0.500 0.276 [4 per cell]

The calculation puts the formation enthalpy at 0 K at 0.198 eV per atom. The magnetic moment is 7.954 μB/cell. The volume is 107.35 Å³ per cell.

=====

TlSbTe2F: optimized geometry, GGA-PBEsol.

a = 5.615 Å, b = 5.615 Å, c = 5.656 Å
α = 90.00°, β = 90.00°, γ = 90.00°
Space group P4/mmm (No. 123)
Unique sites:
Tl 0.000 0.000 0.000 [1 per cell]
Sb 0.000 0.000 0.500 [1 per cell]
Te 0.000 0.500 0.000 [2 per cell]
F 0.500 0.500 0.500 [1 per cell]

The magnetic moment is 0.000 μB/cell. The volume is 178.35 Å³ per cell. As for the formation energy (no corrections): 0.658 eV per atom.

=====

KInFe2: optimized geometry, GGA-PBEsol.

a = 2.886 Å, b = 2.886 Å, c = 9.273 Å
α = 90.00°, β = 90.00°, γ = 90.00°
Space group P4/mmm (No. 123)
Unique sites:
K 0.000 0.000 0.000 [1 per cell]
In 0.000 0.000 0.500 [1 per cell]
Fe 0.500 0.500 0.301 [2 per cell]

The calculation puts the formation enthalpy at 0 K at 0.896 eV per atom. The magnetic moment is 4.995 μB/cell. The volume is 77.25 Å³ per cell.

=====

Li2HgAs: optimized geometry, GGA-PBEsol.

a = 2.943 Å, b = 4.632 Å, c = 4.848 Å
α = 90.00°, β = 90.00°, γ = 90.00°
Space group Pmm2 (No. 25)
Unique sites:
Li 0.000 0.000 0.000 [1 per cell]
Li 0.000 0.500 0.385 [1 per cell]
Hg 0.500 0.000 0.497 [1 per cell]
As 0.500 0.500 0.894 [1 per cell]

The calculation puts the formation enthalpy at 0 K at -0.457 eV per atom. The magnetic moment is 0.000 μB/cell. The volume is 66.09 Å³ per cell.

=====

MoC3Br: optimized geometry, GGA-PBEsol.

a = 4.145 Å, b = 4.145 Å, c = 4.145 Å
α = 90.00°, β = 90.00°, γ = 90.00°
Space group Pm-3m (No. 221)
Unique sites:
Mo 0.000 0.000 0.000 [1 per cell]
C 0.000 0.000 0.500 [3 per cell]
Br 0.500 0.500 0.500 [1 per cell]

The magnetic moment is 0.002 μB/cell. The volume is 71.23 Å³ per cell. As for the formation energy (no corrections): 2.204 eV per atom.

=====

La2ZnGa: optimized geometry, GGA-PBEsol.

a = 7.393 Å, b = 7.393 Å, c = 7.393 Å
α = 90.00°, β = 90.00°, γ = 90.00°
Space group Fm-3m (No. 225)
Unique sites:
La 0.250 0.250 0.250 [8 per cell]
Zn 0.000 0.000 0.000 [4 per cell]
Ga 0.000 0.000 0.500 [4 per cell]

The calculation puts the formation enthalpy at 0 K at -0.436 eV per atom. The magnetic moment is 0.000 μB/cell. The volume is 404.13 Å³ per cell.

=====

In2AsSe: optimized geometry, GGA-PBEsol.

a = 4.048 Å, b = 4.048 Å, c = 5.660 Å
α = 90.00°, β = 90.00°, γ = 90.00°
Space group P4/mmm (No. 123)
Unique sites:
In 0.000 0.000 0.000 [1 per cell]
In 0.500 0.500 0.500 [1 per cell]
As 0.000 0.000 0.500 [1 per cell]
Se 0.500 0.500 0.000 [1 per cell]

The magnetic moment is 0.000 μB/cell. The volume is 92.75 Å³ per cell. As for the formation energy (no corrections): -0.304 eV per atom.

=====

LaYSc2: optimized geometry, GGA-PBEsol.

a = 7.654 Å, b = 7.654 Å, c = 7.654 Å
α = 90.00°, β = 90.00°, γ = 90.00°
Space group F-43m (No. 216)
Unique sites:
La 0.000 0.000 0.000 [4 per cell]
Y 0.250 0.250 0.750 [4 per cell]
Sc 0.000 0.000 0.500 [4 per cell]
Sc 0.250 0.250 0.250 [4 per cell]

The calculation puts the formation enthalpy at 0 K at 0.140 eV per atom. The magnetic moment is 0.001 μB/cell. The volume is 448.35 Å³ per cell.